No. 1
Material: YTm2Hg4
Method: DFT, PBE-GGA
State: optimized geometry

Summary:
Its distance to the lowest polymorph of the same formula is 0.481 eV/atom. For the calculated formation energy, the calculation gives 78 meV per atom.

```
data_YTm2Hg4
_chemical_formula_sum 'Y2 Tm4 Hg8'
_space_group_name_H-M_alt 'I 4/m m m'
_space_group_IT_number 139
_space_group_name_Hall '-I 4 2'
_cell_length_a 5.611
_cell_length_b 5.611
_cell_length_c 15.219
_cell_angle_alpha 90.00
_cell_angle_beta 90.00
_cell_angle_gamma 90.00
loop_
_atom_site_label
_atom_site_fract_x
_atom_site_fract_y
_atom_site_fract_z
Y1 0.000 0.000 0.000
Tm1 0.000 0.000 0.399
Hg1 0.000 0.000 0.202
Hg2 0.000 0.500 0.000
```

No. 2
Material: Y4TmHg
Method: DFT, PBE-GGA
State: optimized geometry

Summary:
For the calculated formation energy, the calculation gives -55 meV per atom.

```
data_Y4TmHg
_chemical_formula_sum 'Y16 Tm4 Hg4'
_space_group_name_H-M_alt 'C 1 2/c 1'
_space_group_IT_number 15
_space_group_name_Hall '-C 2yc'
_cell_length_a 8.756
_cell_length_b 13.944
_cell_length_c 6.350
_cell_angle_alpha 90.00
_cell_angle_beta 109.07
_cell_angle_gamma 90.00
loop_
_atom_site_label
_atom_site_fract_x
_atom_site_fract_y
_atom_site_fract_z
Y1 0.099 0.189 0.046
Y2 0.216 0.388 0.371
Tm1 0.000 0.402 0.750
Hg1 0.000 0.000 0.250
```

No. 3
Material: YTmHg6
Method: DFT, PBE-GGA
State: optimized geometry

Summary:
Its distance to the lowest polymorph of the same formula is 0.000 eV/atom. For the calculated formation energy, the calculation gives -331 meV per atom.

```
data_YTmHg6
_chemical_formula_sum 'Y2 Tm2 Hg12'
_space_group_name_H-M_alt 'A m m 2'
_space_group_IT_number 38
_space_group_name_Hall 'A 2 -2'
_cell_length_a 5.019
_cell_length_b 6.602
_cell_length_c 11.498
_cell_angle_alpha 90.00
_cell_angle_beta 90.00
_cell_angle_gamma 90.00
loop_
_atom_site_label
_atom_site_fract_x
_atom_site_fract_y
_atom_site_fract_z
Y1 0.000 0.000 0.000
Tm1 0.500 0.000 0.336
Hg1 0.000 0.000 0.501
Hg2 0.000 0.247 0.251
Hg3 0.500 0.000 0.833
Hg4 0.500 0.249 0.586
```

What did the third record say?
Material: YTmHg6
Method: DFT, PBE-GGA
State: optimized geometry

Summary:
Its distance to the lowest polymorph of the same formula is 0.000 eV/atom. For the calculated formation energy, the calculation gives -331 meV per atom.

```
data_YTmHg6
_chemical_formula_sum 'Y2 Tm2 Hg12'
_space_group_name_H-M_alt 'A m m 2'
_space_group_IT_number 38
_space_group_name_Hall 'A 2 -2'
_cell_length_a 5.019
_cell_length_b 6.602
_cell_length_c 11.498
_cell_angle_alpha 90.00
_cell_angle_beta 90.00
_cell_angle_gamma 90.00
loop_
_atom_site_label
_atom_site_fract_x
_atom_site_fract_y
_atom_site_fract_z
Y1 0.000 0.000 0.000
Tm1 0.500 0.000 0.336
Hg1 0.000 0.000 0.501
Hg2 0.000 0.247 0.251
Hg3 0.500 0.000 0.833
Hg4 0.500 0.249 0.586
```

Copy entry 2 word for word.
Material: Y4TmHg
Method: DFT, PBE-GGA
State: optimized geometry

Summary:
For the calculated formation energy, the calculation gives -55 meV per atom.

```
data_Y4TmHg
_chemical_formula_sum 'Y16 Tm4 Hg4'
_space_group_name_H-M_alt 'C 1 2/c 1'
_space_group_IT_number 15
_space_group_name_Hall '-C 2yc'
_cell_length_a 8.756
_cell_length_b 13.944
_cell_length_c 6.350
_cell_angle_alpha 90.00
_cell_angle_beta 109.07
_cell_angle_gamma 90.00
loop_
_atom_site_label
_atom_site_fract_x
_atom_site_fract_y
_atom_site_fract_z
Y1 0.099 0.189 0.046
Y2 0.216 0.388 0.371
Tm1 0.000 0.402 0.750
Hg1 0.000 0.000 0.250
```

What is the calculated formation energy in the second record? -55 meV per atom